Below is a relaxed structure of K2LiCoHg, with properties calculated at the PBE level.

abc: 6.129 6.129 5.010
angles: 90.00 90.00 90.00
Fractional positions:
Hg1 0.000 0.000 0.500
Co1 0.000 0.000 0.000
Li1 0.500 0.500 0.500
K1 0.000 0.500 0.000
K2 0.500 0.000 0.000

Output
V   37.64 Å³ per atom
M_tot   0.138 μB per formula unit
E_form   0.574 eV/atom
Crystal system   tetragonal